The following is a PBE+U calculation of an optimized crystal structure of K2Cr4CoH4O16, from Alexandria via LeMat-Bulk.

```
data_K2Cr4CoH4O16
_cell_length_a 6.8914
_cell_length_b 7.7678
_cell_length_c 8.1437
_cell_angle_alpha 84.91
_cell_angle_beta 81.69
_cell_angle_gamma 64.12
_space_group_name_H-M_alt 'P -1'
_space_group_IT_number 2
_space_group_name_Hall '-P 1'
loop_
_atom_site_label
_atom_site_type_symbol
_atom_site_fract_x
_atom_site_fract_y
_atom_site_fract_z
_atom_site_occupancy
K1 K 0.0544 0.2532 0.3203 1
Cr1 Cr 0.2787 0.9963 0.8411 1
Cr2 Cr 0.4474 0.2941 0.6674 1
Co1 Co 0.5000 0.5000 0.0000 1
H1 H 0.0884 0.6618 0.1108 1
H2 H 0.2249 0.6142 0.2637 1
O1 O 0.1231 0.1571 0.9784 1
O2 O 0.1359 0.0026 0.6974 1
O3 O 0.2116 0.5584 0.1634 1
O4 O 0.2751 0.3569 0.5321 1
O5 O 0.3176 0.7167 0.4146 1
O6 O 0.3451 0.4501 0.8189 1
O7 O 0.3907 0.7807 0.9273 1
O8 O 0.4930 0.0590 0.7484 1
```

Properties
DFT total energy = -164.5 eV for the cell shown